Density functional theory data (PBE-GGA) for crystalline Ca4TeP2 at its relaxed geometry.

```
Ca4TeP2
1.0
-4.382 4.382 6.135
4.382 -4.382 6.135
4.382 4.382 -6.135
Ca Te P
8 2 4
Direct
0.268 0.307 0.539
0.268 0.729 0.961
0.271 0.732 0.539
0.307 0.268 0.039
0.693 0.732 0.961
0.729 0.268 0.461
0.732 0.271 0.039
0.732 0.693 0.461
0.125 0.875 0.250
0.875 0.125 0.750
0.000 0.500 0.500
0.500 0.000 0.000
0.500 0.500 0.000
0.500 0.500 0.500
```

Output
- ΔE_f (raw) (eV per formula unit) = -8.68
- total DFT energy (no corrections) (eV for the cell shown) = -61.290
- theoretical density (g cm⁻³) = 2.47